A plane-wave DFT calculation with PBE was carried out for crystalline K4Tb3YSe8 at its relaxed geometry.

Lattice parameters (Å, degrees): 8.455 9.106 8.455 117.67 120.00 90.00
Sites, in units of the cell vectors:
K 0.500 0.000 0.000
K 0.500 0.000 0.500
K 0.000 0.000 0.000
K 0.000 0.000 0.500
Tb 0.500 0.500 0.000
Tb 0.500 0.500 0.500
Tb 0.000 0.500 0.500
Y 0.000 0.500 0.000
Se 0.235 0.706 0.971
Se 0.235 0.706 0.470
Se 0.265 0.294 0.529
Se 0.736 0.706 0.971
Se 0.264 0.294 0.029
Se 0.735 0.706 0.471
Se 0.765 0.294 0.530
Se 0.765 0.294 0.029

Properties
M_tot, μB/cell: 0.0
Crystal system: trigonal
Formation energy without anion corrections, meV per atom: -1769
Final energy, eV per atom: -5.057